Material: AcMn2IO4
Method: DFT, PBE with a Hubbard U
State: relaxed

- Calculated volume: 151.7 Å³/cell
- Space group: P4/mmm, No. 123
- Uncorrected energy: -6.797 eV/atom
- Total magnetization: 8.47 μB per formula unit

Lattice parameters (Å, degrees): 3.9056 3.9056 9.9448 90.00 90.00 90.00
With the nearest neighbours (Å) after each atom.
Fractional coordinates of all 8 atoms:
Mn1 0.5000 0.5000 0.7807  4 O 2.02
O1 0.0000 0.5000 0.8344  2 Mn 2.02
O2 0.0000 0.5000 0.1656  2 Mn 2.02
I1 0.0000 0.0000 0.5000  8 O 3.86, 4 I 3.91, 8 Mn 3.93
Ac1 0.0000 0.0000 0.0000  8 O 2.55
O3 0.5000 0.0000 0.1656  2 Mn 2.02
O4 0.5000 0.0000 0.8344  2 Mn 2.02
Mn2 0.5000 0.5000 0.2193  4 O 2.02


Material: AcMnIO2
Method: DFT, PBE with a Hubbard U
State: relaxed

- Calculated volume: 233.2 Å³/cell
- Space group: P2_1/m, No. 11
- Uncorrected energy: -6.771 eV/atom
- Total magnetization: 5.00 μB per formula unit

Lattice parameters (Å, degrees): 4.0099 6.7544 8.7085 98.57 90.00 90.00
With the nearest neighbours (Å) after each atom.
Fractional coordinates of all 10 atoms:
O1 0.7500 0.3594 0.6457  1 Mn 1.94
Mn1 0.7500 0.6503 0.6849  2 O 1.94-1.99
O2 0.7500 0.9128 0.6075  1 Mn 1.99
Ac1 0.2500 0.1539 0.6761  5 O 2.44-2.60
O3 0.2500 0.0872 0.3925  1 Mn 1.99
O4 0.2500 0.6406 0.3543  1 Mn 1.94
I1 0.7500 0.2591 0.0717  2 Mn 2.92
I2 0.2500 0.7409 0.9283  2 Mn 2.92
Ac2 0.7500 0.8461 0.3239  5 O 2.44-2.60
Mn2 0.2500 0.3497 0.3151  2 O 1.94-1.99